[1]
## WCl3 (meta-GGA SCAN)

Data for WCl3 at its PBEsol-relaxed geometry.

```
data_WCl3
_cell_length_a 2.967
_cell_length_b 2.967
_cell_length_c 7.976
_cell_angle_alpha 90.00
_cell_angle_beta 90.00
_cell_angle_gamma 90.00
_symmetry_space_group_name_H-M 'P 4/m m m'
_symmetry_Int_Tables_number 123
_symmetry_space_group_name_Hall '-P 4 2'
loop_
_atom_site_label
_atom_site_type_symbol
_atom_site_fract_x
_atom_site_fract_y
_atom_site_fract_z
_atom_site_occupancy
W1 W 0.000 0.000 0.000 1
Cl1 Cl 0.000 0.000 0.500 1
Cl2 Cl 0.500 0.500 0.184 1
```

**Formation energy (no corrections)**: 0.27 eV per atom
**Final energy**: -23.135 eV per atom

[2]
## YWCl2 (meta-GGA SCAN)

Data for YWCl2 at its PBEsol-relaxed geometry.

```
data_YWCl2
_cell_length_a 3.3590
_cell_length_b 3.3590
_cell_length_c 26.7764
_cell_angle_alpha 90.00
_cell_angle_beta 90.00
_cell_angle_gamma 120.00
_symmetry_space_group_name_H-M 'R 3 m'
_symmetry_Int_Tables_number 160
_symmetry_space_group_name_Hall 'R 3 -2"'
loop_
_atom_site_label
_atom_site_type_symbol
_atom_site_fract_x
_atom_site_fract_y
_atom_site_fract_z
_atom_site_occupancy
Y1 Y 0.0000 0.0000 0.0000 1
W1 W 0.0000 0.0000 0.7558 1
Cl1 Cl 0.0000 0.0000 0.2641 1
Cl2 Cl 0.0000 0.0000 0.4770 1
```

**Formation energy (no corrections)**: -0.59 eV per atom
**Final energy**: -28.966 eV per atom

[3]
## YW2Cl (meta-GGA SCAN)

Data for YW2Cl at its PBEsol-relaxed geometry.

```
data_YW2Cl
_cell_length_a 3.168
_cell_length_b 3.261
_cell_length_c 14.972
_cell_angle_alpha 90.00
_cell_angle_beta 90.00
_cell_angle_gamma 90.00
_symmetry_space_group_name_H-M 'A m m 2'
_symmetry_Int_Tables_number 38
loop_
_symmetry_equiv_pos_as_xyz
'x,y,z'
'-x,-y,z'
'-x,y,z'
'x,-y,z'
'x,y+1/2,z+1/2'
'-x,-y+1/2,z+1/2'
'-x,y+1/2,z+1/2'
'x,-y+1/2,z+1/2'
loop_
_atom_site_label
_atom_site_type_symbol
_atom_site_fract_x
_atom_site_fract_y
_atom_site_fract_z
_atom_site_occupancy
Y1 Y 0.000 0.000 0.000 1
W1 W 0.000 0.000 0.221 1
W2 W 0.500 0.000 0.635 1
Cl1 Cl 0.500 0.000 0.368 1
```

**Formation energy (no corrections)**: -0.12 eV per atom
**Final energy**: -43.915 eV per atom

[4]
## YW2Cl (meta-GGA SCAN)

Data for YW2Cl at its PBEsol-relaxed geometry.

```
data_YW2Cl
_cell_length_a 3.076
_cell_length_b 4.251
_cell_length_c 11.886
_cell_angle_alpha 90.00
_cell_angle_beta 90.00
_cell_angle_gamma 90.00
_symmetry_space_group_name_H-M 'I m m m'
_symmetry_Int_Tables_number 71
_symmetry_space_group_name_Hall '-I 2 2'
loop_
_atom_site_label
_atom_site_type_symbol
_atom_site_fract_x
_atom_site_fract_y
_atom_site_fract_z
_atom_site_occupancy
Y1 Y 0.000 0.000 0.000 1
W1 W 0.000 0.500 0.260 1
Cl1 Cl 0.000 0.000 0.500 1
```

**Formation energy (no corrections)**: 0.30 eV per atom
**Final energy**: -43.497 eV per atom

[5]
## YW2Cl (meta-GGA SCAN)

Data for YW2Cl at its PBEsol-relaxed geometry.

```
data_YW2Cl
_cell_length_a 3.126
_cell_length_b 4.237
_cell_length_c 5.679
_cell_angle_alpha 90.00
_cell_angle_beta 90.00
_cell_angle_gamma 90.00
_symmetry_space_group_name_H-M 'P m m m'
_symmetry_Int_Tables_number 47
loop_
_symmetry_equiv_pos_as_xyz
'x,y,z'
'-x,-y,-z'
'-x,-y,z'
'x,y,-z'
'x,-y,-z'
'-x,y,z'
'-x,y,-z'
'x,-y,z'
loop_
_atom_site_label
_atom_site_type_symbol
_atom_site_fract_x
_atom_site_fract_y
_atom_site_fract_z
_atom_site_occupancy
Y1 Y 0.000 0.000 0.000 1
W1 W 0.000 0.500 0.500 1
W2 W 0.500 0.000 0.500 1
Cl1 Cl 0.500 0.500 0.000 1
```

**Formation energy (no corrections)**: 0.36 eV per atom
**Final energy**: -43.440 eV per atom

[6]
## YWCl2 (meta-GGA SCAN)

Data for YWCl2 at its PBEsol-relaxed geometry.

```
data_YWCl2
_cell_length_a 3.080
_cell_length_b 4.634
_cell_length_c 10.218
_cell_angle_alpha 90.00
_cell_angle_beta 90.00
_cell_angle_gamma 90.00
_symmetry_space_group_name_H-M 'I m m 2'
_symmetry_Int_Tables_number 44
loop_
_symmetry_equiv_pos_as_xyz
'x,y,z'
'-x,-y,z'
'-x,y,z'
'x,-y,z'
'x+1/2,y+1/2,z+1/2'
'-x+1/2,-y+1/2,z+1/2'
'-x+1/2,y+1/2,z+1/2'
'x+1/2,-y+1/2,z+1/2'
loop_
_atom_site_label
_atom_site_type_symbol
_atom_site_fract_x
_atom_site_fract_y
_atom_site_fract_z
_atom_site_occupancy
Y1 Y 0.000 0.000 0.000 1
W1 W 0.000 0.500 0.232 1
Cl1 Cl 0.000 0.000 0.532 1
Cl2 Cl 0.000 0.500 0.738 1
```

**Formation energy (no corrections)**: -0.01 eV per atom
**Final energy**: -28.383 eV per atom